Entry 1:
The following is a GGA-PBEsol calculation of a geometry-optimized HgMoPb2 structure, from Alexandria via LeMat-Bulk.

Unit cell a=3.708 b=3.708 c=6.360 alpha=90.00 beta=90.00 gamma=90.00
Fractional coordinates of all 4 atoms:
Hg  0.500  0.500  0.000
Mo  0.500  0.500  0.500
Pb  0.000  0.000  0.734
Pb  0.000  0.000  0.266

## Properties
- N(E_F): 2.546 states/eV/f.u.
- Total energy: -4.56 eV/atom
- V: 21.87 Å³/atom
- Size of the total moment: 0.000 μB per cell


Entry 2:
The following is a GGA-PBEsol calculation of a geometry-optimized TaHgMo2Pb structure, from Alexandria via LeMat-Bulk.

Unit cell a=4.743 b=4.743 c=5.318 alpha=90.00 beta=90.00 gamma=90.00
Each line ends with the local moment (μB).
Fractional coordinates of all 5 atoms:
Pb  0.500  0.500  0.500  -0.01
Mo  0.000  0.500  0.000  0.52
Mo  0.500  0.000  0.000  0.52
Hg  0.000  0.000  0.500  -0.01
Ta  0.000  0.000  0.000  -0.09

## Properties
- N(E_F): 5.852 states/eV/f.u.
- Total energy: -6.55 eV/atom
- V: 23.93 Å³/atom
- Size of the total moment: 1.060 μB per cell


Entry 3:
The following is a GGA-PBEsol calculation of a geometry-optimized RbRe2HgMo structure, from Alexandria via LeMat-Bulk.

Unit cell a=4.659 b=4.659 c=5.216 alpha=90.00 beta=90.00 gamma=90.00
Each line ends with the local moment (μB).
Fractional coordinates of all 5 atoms:
Re  0.000  0.500  0.000  -0.99
Re  0.500  0.000  0.000  -0.99
Mo  0.500  0.500  0.500  2.75
Hg  0.000  0.000  0.500  -0.03
Rb  0.000  0.000  0.000  -0.02

## Properties
- N(E_F): 5.996 states/eV/f.u.
- Total energy: -4.11 eV/atom
- V: 22.64 Å³/atom
- Size of the total moment: 0.773 μB per cell


Entry 4:
The following is a GGA-PBEsol calculation of a geometry-optimized ReHgMo2 structure, from Alexandria via LeMat-Bulk.

Unit cell a=3.965 b=3.965 c=4.899 alpha=113.87 beta=113.87 gamma=90.00
Fractional coordinates of all 4 atoms:
Hg  0.000  0.000  0.000
Mo  0.750  0.250  0.500
Mo  0.250  0.750  0.500
Re  0.500  0.500  0.000

## Properties
- N(E_F): 2.143 states/eV/f.u.
- Total energy: -8.89 eV/atom
- V: 15.79 Å³/atom
- Size of the total moment: 0.000 μB per cell


Entry 5:
The following is a GGA-PBEsol calculation of a geometry-optimized ReHgMo2 structure, from Alexandria via LeMat-Bulk.

Unit cell a=2.866 b=3.960 c=5.685 alpha=90.00 beta=90.00 gamma=90.00
Fractional coordinates of all 4 atoms:
Hg  0.500  0.500  0.500
Mo  0.000  0.000  0.783
Mo  0.000  0.000  0.217
Re  0.500  0.500  0.000

## Properties
- N(E_F): 2.597 states/eV/f.u.
- Total energy: -9.04 eV/atom
- V: 16.13 Å³/atom
- Size of the total moment: 0.000 μB per cell


Entry 6:
The following is a GGA-PBEsol calculation of a geometry-optimized HgMo2Rh structure, from Alexandria via LeMat-Bulk.

Unit cell a=2.758 b=4.864 c=4.973 alpha=99.06 beta=90.00 gamma=106.47
Fractional coordinates of all 4 atoms:
Hg  0.752  0.505  0.253
Mo  0.994  0.988  0.980
Mo  0.242  0.485  0.746
Rh  0.511  0.022  0.521

## Properties
- N(E_F): 2.873 states/eV/f.u.
- Total energy: -7.80 eV/atom
- V: 15.78 Å³/atom
- Size of the total moment: 0.000 μB per cell


Entry 7:
The following is a GGA-PBEsol calculation of a geometry-optimized HgMoRh3 structure, from Alexandria via LeMat-Bulk.

Unit cell a=4.761 b=4.761 c=4.761 alpha=90.00 beta=90.00 gamma=90.00
Each line ends with the local moment (μB).
Fractional coordinates of all 5 atoms:
Mo  0.500  0.500  0.500  2.83
Rh  0.000  0.500  0.000  -0.41
Rh  0.000  0.000  0.500  -0.41
Rh  0.500  0.000  0.000  -0.41
Hg  0.000  0.000  0.000  -0.03

## Properties
- N(E_F): 9.473 states/eV/f.u.
- Total energy: -5.05 eV/atom
- V: 21.59 Å³/atom
- Size of the total moment: 1.959 μB per cell


Entry 8:
The following is a GGA-PBEsol calculation of a geometry-optimized Hg2MoRh structure, from Alexandria via LeMat-Bulk.

Unit cell a=2.863 b=4.530 c=5.993 alpha=90.00 beta=118.43 gamma=90.00
Fractional coordinates of all 4 atoms:
Hg  0.097  0.000  0.973
Hg  0.406  0.500  0.280
Mo  0.129  0.000  0.504
Rh  0.368  0.500  0.743

## Properties
- N(E_F): 1.561 states/eV/f.u.
- Total energy: -4.93 eV/atom
- V: 17.09 Å³/atom
- Size of the total moment: 0.000 μB per cell


no.,energy relative to the elements (eV per atom)
1,0.525
2,1.578
3,3.898
4,0.471
5,0.322
6,0.265
7,2.299
8,0.329